1.
A relaxed structure of BaMn3, computed with PBE.

The calculated total energy comes out at -105.9 eV/cell. The value obtained for the energy of formation is 742 meV/atom.

The structure belongs to space group Cmcm (No. 63); the cell edges are 9.341, 11.935 and 3.757 Å and the angles 90.00°, 90.00° and 90.00°. Symmetry generates all atoms from Ba at (0.000, 0.167, 0.250), Mn at (0.000, 0.428, 0.250) and Mn at (0.156, 0.405, 0.750).

2.
A relaxed structure of Ca2AcMg2Sn2, computed with PBE.

The calculated total energy comes out at -66.9 eV/cell. The value obtained for the energy of formation is -426 meV/atom.

The structure belongs to space group R-3m (No. 166, hexagonal axes); the cell edges are 5.0701, 5.0701 and 27.8467 Å and the angles 90.00°, 90.00° and 120.00°. Symmetry generates all atoms from Ca at (0.0000, 0.0000, 0.1365), Ac at (0.0000, 0.0000, 0.0000), Mg at (0.0000, 0.0000, 0.4214) and Sn at (0.0000, 0.0000, 0.2587).